The following is a DFT calculation (GGA-PBE) of a geometry-optimized Er2SiO5 structure.

The value obtained for the spin magnetization is 0.0 μB/cell. The value obtained for the excess energy over the best structure of this formula in the dataset is 0.027 eV/atom.

The space group is P2_1/c (No. 14) and the conventional cell measures 8.976, 6.784 and 6.620 Å, with angles of 90.00, 105.63 and 90.00 degrees. Symmetry generates all atoms from Er at (0.029, 0.125, 0.232), Er at (0.374, 0.139, 0.057), Si at (0.299, 0.591, 0.026), O at (0.112, 0.637, 0.992), O at (0.114, 0.117, 0.938), O at (0.291, 0.072, 0.336), O at (0.375, 0.052, 0.726) and O at (0.395, 0.712, 0.518).

---

The following is a DFT calculation (GGA-PBE) of a geometry-optimized BaTmHgCl2O2 structure.

The value obtained for the spin magnetization is 0.0 μB/cell.

The space group is Cm (No. 8) and the conventional cell measures 12.743, 3.686 and 8.388 Å, with angles of 90.00, 124.11 and 90.00 degrees. Symmetry generates all atoms from Ba at (0.000, 0.000, 0.000), Tm at (0.161, 0.500, 0.477), Hg at (0.336, 0.500, 0.243), Cl at (0.239, 0.000, 0.844), Cl at (0.374, 0.000, 0.609), O at (0.057, 0.000, 0.384) and O at (0.143, 0.500, 0.214).

---

The following is a DFT calculation (GGA-PBE) of a geometry-optimized Hf2Si2Os structure.

The value obtained for the spin magnetization is 0.0 μB/cell.

The space group is P4/mbm (No. 127) and the conventional cell measures 6.294, 6.294 and 4.127 Å, with angles of 90.00, 90.00 and 90.00 degrees. Symmetry generates all atoms from Hf at (0.174, 0.326, 0.000), Si at (0.135, 0.635, 0.500) and Os at (0.000, 0.000, 0.500).

---

The following is a DFT calculation (GGA-PBE) of a geometry-optimized CdTeNO structure.

The value obtained for the excess energy over the best structure of this formula in the dataset is 0.141 eV/atom.

The space group is Cm (No. 8) and the conventional cell measures 8.000, 8.919 and 3.785 Å, with angles of 90.00, 101.99 and 90.00 degrees. Symmetry generates all atoms from Cd at (0.000, 0.000, 0.000), Cd at (0.076, 0.500, 0.056), Te at (0.346, 0.231, 0.452), N at (0.335, 0.500, 0.418), N at (0.396, 0.000, 0.513) and O at (0.152, 0.217, 0.043).

---

The following is a DFT calculation (GGA-PBE) of a geometry-optimized K2LiCuF6 structure.

The value obtained for the excess energy over the best structure of this formula in the dataset is 0.000 eV/atom.

The space group is Fm-3m (No. 225) and the conventional cell measures 7.793, 7.793 and 7.793 Å, with angles of 90.00, 90.00 and 90.00 degrees. Symmetry generates all atoms from K at (0.250, 0.250, 0.250), Li at (0.000, 0.000, 0.000), Cu at (0.000, 0.000, 0.500) and F at (0.000, 0.000, 0.254).

---

The following is a DFT calculation (GGA-PBE) of a geometry-optimized SrMgNbCo structure.

The value obtained for the spin magnetization is 0.0 μB/cell. The value obtained for the excess energy over the best structure of this formula in the dataset is 0.000 eV/atom.

The space group is F-43m (No. 216) and the conventional cell measures 6.742, 6.742 and 6.742 Å, with angles of 90.00, 90.00 and 90.00 degrees. Symmetry generates all atoms from Sr at (0.000, 0.000, 0.000), Mg at (0.250, 0.250, 0.250), Nb at (0.250, 0.250, 0.750) and Co at (0.000, 0.000, 0.500).

---

The following is a DFT calculation (GGA-PBE) of a geometry-optimized ZnGaFeAg structure.

The value obtained for the spin magnetization is 10.0 μB/cell. The value obtained for the excess energy over the best structure of this formula in the dataset is 0.068 eV/atom.

The space group is F-43m (No. 216) and the conventional cell measures 6.220, 6.220 and 6.220 Å, with angles of 90.00, 90.00 and 90.00 degrees. Symmetry generates all atoms from Zn at (0.000, 0.000, 0.000), Ga at (0.250, 0.250, 0.250), Fe at (0.000, 0.000, 0.500) and Ag at (0.250, 0.250, 0.750).

---

The following is a DFT calculation (GGA-PBE) of a geometry-optimized LuURe structure.

The calculation puts the formation energy from the elements at 0.4347 eV/atom. The value obtained for the spin magnetization is 7.4 μB/cell. The value obtained for the excess energy over the best structure of this formula in the dataset is 0.000 eV/atom.

The space group is F-43m (No. 216) and the conventional cell measures 6.640, 6.640 and 6.640 Å, with angles of 90.00, 90.00 and 90.00 degrees. Symmetry generates all atoms from Lu at (0.000, 0.000, 0.000), U at (0.000, 0.000, 0.500) and Re at (0.250, 0.250, 0.750).

---

The following is a DFT calculation (GGA-PBE) of a geometry-optimized CsDyCoTe3 structure.

The value obtained for the spin magnetization is 3.9 μB/cell. The value obtained for the excess energy over the best structure of this formula in the dataset is 0.000 eV/atom.

The space group is P2_1/m (No. 11) and the conventional cell measures 10.510, 4.269 and 10.638 Å, with angles of 90.00, 114.31 and 90.00 degrees. Symmetry generates all atoms from Cs at (0.218, 0.250, 0.244), Dy at (0.327, 0.750, 0.861), Co at (0.077, 0.250, 0.591), Te at (0.113, 0.250, 0.847), Te at (0.182, 0.750, 0.537) and Te at (0.480, 0.750, 0.175).

---

The following is a DFT calculation (GGA-PBE) of a geometry-optimized NaAlFeTe structure.

The value obtained for the spin magnetization is 8.7 μB/cell. The value obtained for the excess energy over the best structure of this formula in the dataset is 0.133 eV/atom.

The space group is F-43m (No. 216) and the conventional cell measures 6.901, 6.901 and 6.901 Å, with angles of 90.00, 90.00 and 90.00 degrees. Symmetry generates all atoms from Na at (0.000, 0.000, 0.000), Al at (0.000, 0.000, 0.500), Fe at (0.250, 0.250, 0.750) and Te at (0.250, 0.250, 0.250).

---

The following is a DFT calculation (GGA-PBE) of a geometry-optimized Cs2KNa2ReO6 structure.

The value obtained for the spin magnetization is 0.0 μB/cell.

The space group is C2/m (No. 12) and the conventional cell measures 6.599, 12.241 and 5.709 Å, with angles of 90.00, 108.59 and 90.00 degrees. Symmetry generates all atoms from Cs at (0.000, 0.176, 0.000), K at (0.000, 0.000, 0.500), Na at (0.000, 0.384, 0.500), Re at (0.000, 0.500, 0.000), O at (0.168, 0.389, 0.213) and O at (0.191, 0.500, 0.807).

---

The following is a DFT calculation (GGA-PBE) of a geometry-optimized NdReNO structure.

The value obtained for the spin magnetization is 0.0 μB/cell. The value obtained for the excess energy over the best structure of this formula in the dataset is 0.262 eV/atom.

The space group is Pmc2_1 (No. 26) and the conventional cell measures 3.858, 5.439 and 5.146 Å, with angles of 90.00, 90.00 and 90.00 degrees. Symmetry generates all atoms from Nd at (0.000, 0.209, 0.000), Re at (0.500, 0.332, 0.500), N at (0.000, 0.326, 0.500) and O at (0.500, 0.001, 0.750).

---

The following is a DFT calculation (GGA-PBE) of a geometry-optimized YBeHg2 structure.

The value obtained for the spin magnetization is 0.0 μB/cell.

The space group is F-43m (No. 216) and the conventional cell measures 6.906, 6.906 and 6.906 Å, with angles of 90.00, 90.00 and 90.00 degrees. Symmetry generates all atoms from Y at (0.000, 0.000, 0.000), Be at (0.250, 0.250, 0.750), Hg at (0.000, 0.000, 0.500) and Hg at (0.250, 0.250, 0.250).

---

The following is a DFT calculation (GGA-PBE) of a geometry-optimized Nb4Co5Bi5 structure.

The value obtained for the spin magnetization is 0.0 μB/cell.

The space group is I-4 (No. 82) and the conventional cell measures 9.523, 9.523 and 6.082 Å, with angles of 90.00, 90.00 and 90.00 degrees. Symmetry generates all atoms from Nb at (0.095, 0.302, 0.008), Co at (0.000, 0.500, 0.750), Co at (0.108, 0.784, 0.221), Bi at (0.000, 0.000, 0.000) and Bi at (0.088, 0.277, 0.510).

---

The following is a DFT calculation (GGA-PBE) of a geometry-optimized LaBiAu2 structure.

The value obtained for the spin magnetization is 0.0 μB/cell.

The space group is P6_3/mmc (No. 194) and the conventional cell measures 4.9843, 4.9843 and 9.5208 Å, with angles of 90.00, 90.00 and 120.00 degrees. Symmetry generates all atoms from La at (0.3333, 0.6667, 0.2500), Bi at (0.0000, 0.0000, 0.0000) and Au at (0.3333, 0.6667, 0.6026).

---

The following is a DFT calculation (GGA-PBE) of a geometry-optimized LiHfW2 structure.

The value obtained for the spin magnetization is 0.0 μB/cell.

The space group is F-43m (No. 216) and the conventional cell measures 6.415, 6.415 and 6.415 Å, with angles of 90.00, 90.00 and 90.00 degrees. Symmetry generates all atoms from Li at (0.000, 0.000, 0.000), Hf at (0.250, 0.250, 0.250), W at (0.000, 0.000, 0.500) and W at (0.250, 0.250, 0.750).

---

The following is a DFT calculation (GGA-PBE) of a geometry-optimized Ta2Co structure.

The calculation puts the formation energy from the elements at 0.3042 eV/atom. The value obtained for the spin magnetization is 0.0 μB/cell.

The space group is P6_3/mmc (No. 194) and the conventional cell measures 5.3795, 5.3795 and 15.7919 Å, with angles of 90.00, 90.00 and 120.00 degrees. Symmetry generates all atoms from Ta at (0.0000, 0.0000, 0.0918), Ta at (0.0000, 0.5000, 0.0000), Ta at (0.1657, 0.3313, 0.2500), Co at (0.3333, 0.6667, 0.1242) and Co at (0.3333, 0.6667, 0.6631).

---

The following is a DFT calculation (GGA-PBE) of a geometry-optimized LaPrSe4 structure.

The value obtained for the spin magnetization is 0.0 μB/cell.

The space group is P4mm (No. 99) and the conventional cell measures 4.204, 4.204 and 8.664 Å, with angles of 90.00, 90.00 and 90.00 degrees. Symmetry generates all atoms from La at (0.000, 0.000, 0.000), Pr at (0.500, 0.500, 0.450), Se at (0.000, 0.000, 0.359), Se at (0.000, 0.500, 0.724) and Se at (0.500, 0.500, 0.092).

---

The following is a DFT calculation (GGA-PBE) of a geometry-optimized Ni5H structure.

The value obtained for the spin magnetization is 2.9 μB/cell.

The space group is P6/mmm (No. 191) and the conventional cell measures 4.5200, 4.5200 and 4.0758 Å, with angles of 90.00, 90.00 and 120.00 degrees. Symmetry generates all atoms from Ni at (0.0000, 0.5000, 0.0000), Ni at (0.3333, 0.6667, 0.5000) and H at (0.0000, 0.0000, 0.5000).

---

The following is a DFT calculation (GGA-PBE) of a geometry-optimized Tm3LuFe2 structure.

The calculation puts the formation energy from the elements at 0.1555 eV/atom. The value obtained for the spin magnetization is 0.5 μB/cell.

The space group is P-4m2 (No. 115) and the conventional cell measures 4.269, 4.269 and 7.221 Å, with angles of 90.00, 90.00 and 90.00 degrees. Symmetry generates all atoms from Tm at (0.000, 0.000, 0.000), Tm at (0.000, 0.500, 0.629), Lu at (0.500, 0.500, 0.000) and Fe at (0.000, 0.500, 0.246).

---

The following is a DFT calculation (GGA-PBE) of a geometry-optimized Tl2Hg3Te4 structure.

The space group is C2/c (No. 15) and the conventional cell measures 12.822, 7.479 and 13.835 Å, with angles of 90.00, 117.36 and 90.00 degrees. Symmetry generates all atoms from Tl at (0.138, 0.164, 0.043), Hg at (0.000, 0.390, 0.750), Hg at (0.165, 0.129, 0.351), Te at (0.080, 0.383, 0.438) and Te at (0.165, 0.153, 0.726).

---

The following is a DFT calculation (GGA-PBE) of a geometry-optimized HoZrS2Br2 structure.

The value obtained for the spin magnetization is 0.5 μB/cell.

The space group is Pmm2 (No. 25) and the conventional cell measures 3.844, 5.251 and 8.784 Å, with angles of 90.00, 90.00 and 90.00 degrees. Symmetry generates all atoms from Ho at (0.000, 0.000, 0.000), Zr at (0.500, 0.500, 0.225), S at (0.000, 0.500, 0.025), S at (0.500, 0.000, 0.222), Br at (0.000, 0.500, 0.448) and Br at (0.500, 0.000, 0.769).

---

The following is a DFT calculation (GGA-PBE) of a geometry-optimized YSiNi2Ge structure.

The value obtained for the spin magnetization is 0.0 μB/cell.

The space group is I4mm (No. 107) and the conventional cell measures 4.009, 4.009 and 9.718 Å, with angles of 90.00, 90.00 and 90.00 degrees. Symmetry generates all atoms from Y at (0.000, 0.000, 0.000), Si at (0.000, 0.000, 0.630), Ni at (0.000, 0.500, 0.244) and Ge at (0.000, 0.000, 0.375).

---

no.,total DFT energy (no corrections) (eV for the cell shown)
1,-265.2
2,-69.4
3,-92.4
4,-66.9
5,-166.8
6,-70.2
7,-58.9
8,-107.8
9,-54.4
10,-58.9
11,-133.5
12,-70.6
13,-43.0
14,-193.5
15,-36.9
16,-147.3
17,-239.2
18,-33.7
19,-26.7
20,-33.6
21,-79.5
22,-34.9
23,-63.1